The following is a PBE calculation of a relaxed structure of SiPb7Cl2O8, from Alexandria via LeMat-Bulk.

Computed properties:
Total moment, μB/atom: 0.000
Final energy, eV/atom: -5.442
Formation energy without anion corrections, eV/atom: -1.290

abc: 5.728 12.145 12.145
angles: 27.28 90.00 90.00
Fractional positions:
Si: 0.000 0.000 0.000
Pb: 0.000 0.334 0.334
Pb: 0.000 0.558 0.558
Pb: 0.000 0.733 0.733
Pb: 0.500 0.058 0.058
Pb: 0.500 0.232 0.232
Pb: 0.500 0.457 0.457
Pb: 0.500 0.834 0.834
Cl: 0.000 0.108 0.108
Cl: 0.500 0.610 0.610
O: 0.215 0.212 0.783
O: 0.215 0.783 0.212
O: 0.250 0.035 0.534
O: 0.250 0.534 0.035
O: 0.750 0.035 0.534
O: 0.750 0.534 0.035
O: 0.785 0.212 0.783
O: 0.785 0.783 0.212

The following is a PBE calculation of a relaxed structure of TbMgBeCu, from Alexandria via LeMat-Bulk.

Computed properties:
E_form, eV per formula unit: -0.181
Total moment, μB/atom: 0.000
Final energy, eV/atom: -3.557

abc: 4.657 4.657 4.657
angles: 60.00 60.00 60.00
Fractional positions:
Tb: 0.000 0.000 0.000
Mg: 0.500 0.500 0.500
Be: 0.250 0.250 0.250
Cu: 0.750 0.750 0.750

Question: Which value of final energy does entry 1 give?
Answer: -5.442 eV/atom